GaP2I: relaxed, GGA-PBE.

Summary:
Formation energy from raw total energies   0.860 eV/atom
Calculated density   5.30 g cm⁻³
Energy above the lowest structure with this stoichiometry   1.549 eV per formula unit
Calculated volume   20.27 Å³/atom

```
data_GaP2I
_space_group_name_H-M_alt 'F m -3 m'
_space_group_IT_number 225
_space_group_name_Hall '-F 4 2 3'
_cell_length_a 6.871
_cell_length_b 6.871
_cell_length_c 6.871
_cell_angle_alpha 90.00
_cell_angle_beta 90.00
_cell_angle_gamma 90.00
loop_
_atom_site_label
_atom_site_type_symbol
_atom_site_fract_x
_atom_site_fract_y
_atom_site_fract_z
_atom_site_occupancy
Ga1 Ga 0.000 0.000 0.000 1
P1 P 0.250 0.250 0.250 1
I1 I 0.000 0.000 0.500 1
```